Below is an optimized crystal structure of Sc2MnBW, with properties calculated at the PBEsol level.

Cell: 4.9989 4.9989 4.3626 Å, 90.00 90.00 90.00°
Positions (direct):
Sc: 0.0000 0.5000 0.0000
Sc: 0.5000 0.0000 0.0000
Mn: 0.0000 0.0000 0.5000
B: 0.5000 0.5000 0.5000
W: 0.0000 0.0000 0.0000

Values from the calculation:
The calculation puts the density of states at the Fermi level at 4.33 states/eV/cell. As for the space group: P4/mmm. The calculated formation energy is 159.5 kJ per mole of atoms.

***

Below is an optimized crystal structure of TiCu3Ir, with properties calculated at the PBEsol level.

Cell: 4.5168 4.5168 4.5168 Å, 90.00 90.00 90.00°
Positions (direct):
Ti: 0.0000 0.0000 0.0000
Cu: 0.0000 0.5000 0.5000
Cu: 0.5000 0.0000 0.5000
Cu: 0.5000 0.5000 0.0000
Ir: 0.5000 0.5000 0.5000

Values from the calculation:
The calculation puts the density of states at the Fermi level at 6.42 states/eV/cell. As for the space group: Pm-3m. The calculated formation energy is 114.2 kJ per mole of atoms.